First-principles (meta-GGA SCAN) data for CrTeCl3 at its PBEsol-relaxed geometry, as listed in Alexandria.

```
data_CrTeCl3
_space_group_name_H-M_alt 'P 1'
_space_group_IT_number 1
_cell_length_a 4.785
_cell_length_b 4.785
_cell_length_c 4.785
_cell_angle_alpha 90.00
_cell_angle_beta 90.00
_cell_angle_gamma 90.00
loop_
_space_group_symop_operation_xyz
'x,y,z'
loop_
_atom_site_label
_atom_site_fract_x
_atom_site_fract_y
_atom_site_fract_z
_atom_site_occupancy
Cl1 0.000 0.500 0.000 1
Cl2 0.500 0.000 0.000 1
Cl3 0.000 0.000 0.500 1
Cr1 0.000 0.000 0.000 1
Te1 0.500 0.500 0.500 1
```

## Properties
Total magnetic moment ... 1.266 μB per atom
Formation energy (no corrections) ... -0.549 eV per atom